ZrTl2IrO6, relaxed, DFT PBE-GGA; uncorrected formation energy = -1.37 eV/atom
1.0
5.995 0.000 0.000
2.998 5.192 0.000
2.998 1.731 9.759
Zr Tl Ir O
2 4 2 12
Cartesian
5.995 3.461 1.993
5.995 3.461 7.765
8.993 5.192 3.985
2.998 1.731 5.773
8.993 5.192 8.085
2.998 1.731 1.673
0.000 0.000 0.000
5.995 3.461 4.879
7.313 2.701 3.657
5.995 4.982 3.657
4.678 2.701 3.657
4.678 4.222 6.101
5.995 1.941 6.101
7.313 4.222 6.101
7.581 2.546 8.673
5.995 5.292 8.673
4.410 2.546 8.673
4.410 4.377 1.085
5.995 1.631 1.085
7.581 4.377 1.085

***

TmIrO, relaxed, DFT PBE-GGA; uncorrected formation energy = -1.86 eV/atom
1.0
-2.889 1.678 -0.890
0.217 -1.324 -3.201
-4.275 -6.180 2.266
Ir Tm O
2 2 2
Cartesian
-2.781 -2.966 0.098
-4.166 -2.860 -1.922
-2.849 -0.144 -1.074
-4.098 -5.681 -0.750
-5.911 -4.571 0.549
-1.036 -1.255 -2.373

***

Tm2Ir2O7, relaxed, DFT PBE-GGA; uncorrected formation energy = -2.10 eV/atom
1.0
-3.556 -5.403 -3.131
3.236 -6.340 -0.981
-2.016 -5.702 3.881
Tm Ir O
4 4 14
Cartesian
-1.460 -10.903 -0.145
-0.452 -8.052 -2.085
-3.078 -7.733 0.346
0.318 -8.202 1.421
-2.070 -4.882 -1.595
1.326 -5.351 -0.520
-1.300 -5.031 1.912
-0.292 -2.181 -0.029
-1.651 -7.000 2.164
1.343 -7.364 -0.609
-2.477 -5.385 0.314
-0.220 -5.659 -1.776
-1.752 -13.084 -0.173
-2.530 -6.829 -1.835
-1.610 -2.934 -1.354
0.443 -5.788 1.238
-0.948 -3.063 1.660
1.309 -3.337 -0.430
0.194 -10.615 1.604
-1.168 -8.722 -0.116
-3.679 -10.081 0.378
-0.684 -10.445 -2.395

***

Tm6IrO12, relaxed, DFT PBE-GGA; uncorrected formation energy = -3.05 eV/atom
1.0
6.310 -0.001 -0.968
-1.128 6.208 -0.968
-0.001 -0.001 6.384
Tm Ir O
6 1 12
Cartesian
3.347 5.313 0.993
3.497 1.964 0.022
0.220 3.792 1.289
1.834 0.894 3.453
1.684 4.243 4.425
4.961 2.415 3.158
0.000 0.000 0.000
4.548 3.529 1.268
1.656 5.106 2.437
3.125 2.542 4.303
0.633 2.677 3.179
3.525 1.101 2.010
2.056 3.665 0.143
-0.615 5.974 0.919
-0.551 4.337 5.194
3.365 5.744 -1.332
5.796 0.232 3.528
5.732 1.870 -0.748
1.816 0.462 5.779

***

TmIrO5, relaxed, DFT PBE-GGA; uncorrected formation energy = -1.51 eV/atom
1.0
-3.564 1.067 0.280
-3.030 -2.592 -3.831
-2.923 -3.920 2.582
Tm Ir O
1 1 5
Cartesian
0.000 0.000 0.000
-4.759 -2.722 -0.484
-4.727 -3.120 1.434
-4.791 -2.325 -2.403
-4.212 -0.990 -0.135
-5.305 -4.455 -0.834
-2.977 -3.256 -0.625

***

Tm2IrO, relaxed, DFT PBE-GGA; uncorrected formation energy = -1.47 eV/atom; polymorph energy (0 for the lowest one) = 0.000 eV/atom
1.0
-2.549 2.217 2.325
-0.652 -1.056 3.909
4.274 4.443 4.064
Ir Tm O
1 2 1
Cartesian
0.537 2.802 5.149
2.738 3.277 3.493
-1.664 2.327 6.805
0.000 0.000 0.000

***

Tm2IrO, relaxed, DFT PBE-GGA; uncorrected formation energy = -1.43 eV/atom; polymorph energy (0 for the lowest one) = 0.036 eV/atom
1.0
-0.012 0.317 3.084
-1.492 -2.704 0.272
6.051 -3.302 0.362
Ir Tm O
1 2 1
Cartesian
2.274 -2.844 1.859
4.649 -2.537 0.278
1.402 -0.765 0.084
-0.752 -1.193 1.678

***

Tm4Ir6O19, relaxed, DFT PBE-GGA; uncorrected formation energy = -1.63 eV/atom
1.0
-7.293 2.623 -0.117
0.874 -4.941 5.908
4.877 5.962 0.875
Tm Ir O
4 6 19
Cartesian
3.474 4.247 0.623
0.623 -3.520 4.209
-0.444 1.048 1.918
-5.195 1.869 -0.084
2.043 3.465 3.652
-3.586 0.178 3.014
1.875 0.149 4.294
-3.418 3.495 2.372
-1.230 -0.808 5.230
-0.313 4.452 1.435
-1.635 5.809 0.513
-0.781 2.776 0.245
-2.076 -0.749 1.872
-4.344 -1.569 3.919
3.891 0.690 4.590
1.859 0.330 2.193
0.000 0.000 0.000
0.690 3.017 2.301
0.145 6.145 2.293
-2.537 0.517 4.639
-5.158 0.837 3.967
-1.384 -2.391 4.099
-2.629 1.700 2.253
3.342 2.758 2.378
1.358 1.992 4.735
-3.556 3.406 0.427
2.128 -0.169 6.203
-0.008 -0.121 3.855
-1.649 4.172 2.847

***

YTmIrO6, relaxed, DFT PBE-GGA; uncorrected formation energy = -2.23 eV/atom
1.0
-1.919 -0.327 -5.079
-3.039 -1.718 4.171
-3.786 8.793 0.864
Y Tm Ir O
2 2 2 12
Cartesian
0.000 0.000 0.000
-1.893 4.397 0.432
-3.612 0.944 1.304
-5.132 5.804 -1.347
-3.239 1.408 -1.780
-5.505 5.340 1.736
-3.717 -0.116 -0.643
-3.367 0.306 -3.395
-5.968 3.822 2.886
-5.377 6.442 3.352
-3.092 2.518 -0.171
-5.151 1.806 -1.940
-7.415 5.742 1.554
-2.776 2.926 -2.930
-3.592 4.942 1.897
-1.329 1.006 -1.598
-5.651 4.230 0.127
-5.026 6.864 0.599

***

Y2TmIrO8, relaxed, DFT PBE-GGA; uncorrected formation energy = -2.36 eV/atom
1.0
5.039 -0.050 -0.003
-0.027 5.030 -0.006
0.004 0.008 6.742
Y Tm Ir O
2 1 1 8
Cartesian
2.509 2.495 5.035
2.507 2.492 1.699
0.002 0.004 3.371
0.000 0.000 0.000
0.891 4.106 1.438
3.664 3.648 6.736
4.123 0.877 1.439
4.125 0.881 5.296
1.352 1.339 -0.002
0.893 4.111 5.295
3.490 3.472 3.365
1.526 1.515 3.369

***

YTm2IrO8, relaxed, DFT PBE-GGA; uncorrected formation energy = -2.39 eV/atom
1.0
-2.846 -2.942 -2.863
2.363 -3.990 1.827
-4.541 -0.423 4.948
Y Tm Ir O
1 2 1 8
Cartesian
-2.270 -0.212 2.474
-3.636 -3.782 3.182
-1.387 -3.573 0.731
0.000 0.000 0.000
0.438 -3.877 1.994
-4.888 -5.466 4.198
-2.830 -3.232 -0.949
-5.462 -3.478 1.918
-0.136 -1.890 -0.286
-2.194 -4.123 4.862
-2.600 -4.996 1.763
-2.424 -2.359 2.150